#w
{
  "formula": "Y8ErTh2",
  "functional": "PBE-GGA",
  "state": "optimized geometry",
  "magnetic_moment_mub_per_atom": 0.000,
  "n_ef_per_ev_cell": 16.6,
  "sg": "C2/m, No. 12",
  "cell": [[-1.834, -1.079, -6.296], [-1.892, -6.153, 1.606], [-6.270, 6.079, 2.199]],
  "species": ["Th", "Y", "Y", "Y", "Y", "Th", "Y", "Y", "Er", "Y", "Y"],
  "fractional_positions": [[0.339, 0.248, 0.495], [0.180, 0.801, 0.602], [0.401, 0.828, 0.174], [0.401, 0.346, 0.174], [0.599, 0.172, 0.826], [0.661, 0.752, 0.505], [0.902, 0.591, 0.182], [0.098, 0.409, 0.818], [0.000, 0.000, 0.000], [0.820, 0.199, 0.398], [0.599, 0.654, 0.826]]
}

=====

#x
{
  "formula": "Y8ErTh2",
  "functional": "PBE-GGA",
  "state": "optimized geometry",
  "magnetic_moment_mub_per_atom": 0.000,
  "n_ef_per_ev_cell": 15.1,
  "sg": "C2/m, No. 12",
  "cell": [[5.755, 1.591, 0.000], [2.571, 8.617, 0.000], [1.286, 4.308, 7.974]],
  "species": ["Y", "Y", "Y", "Y", "Y", "Er", "Th", "Th", "Y", "Y", "Y"],
  "fractional_positions": [[0.297, 0.418, 0.000], [0.166, 0.900, 0.770], [0.500, 0.789, 0.421], [0.500, 0.211, 0.579], [0.166, 0.670, 0.230], [0.500, 0.000, 0.000], [0.000, 0.305, 0.390], [0.000, 0.695, 0.610], [0.703, 0.582, 0.000], [0.834, 0.100, 0.230], [0.834, 0.330, 0.770]]
}

=====

Which of them is most stable? Easy: #w.

=====

#w
{
  "formula": "Y3Er2Th2",
  "functional": "PBE-GGA",
  "state": "optimized geometry",
  "magnetic_moment_mub_per_atom": 0.002,
  "n_ef_per_ev_cell": 10.1,
  "sg": "C2/m, No. 12",
  "cell": [[-0.649, -3.505, 0.031], [9.630, -7.168, 6.709], [-0.162, -1.731, 5.900]],
  "species": ["Er", "Th", "Y", "Y", "Th", "Y", "Er"],
  "fractional_positions": [[0.139, 0.146, 0.285], [0.713, 0.717, 0.422], [0.431, 0.428, 0.856], [0.000, 0.000, 0.000], [0.287, 0.283, 0.578], [0.569, 0.572, 0.144], [0.861, 0.854, 0.715]]
}

=====

#x
{
  "formula": "Y3Er2Th2",
  "functional": "PBE-GGA",
  "state": "optimized geometry",
  "magnetic_moment_mub_per_atom": 0.000,
  "n_ef_per_ev_cell": 11.2,
  "sg": "C2/m, No. 12",
  "cell": [[-0.982, 0.648, 3.238], [-3.301, -7.929, 0.586], [8.844, 1.114, 0.627]],
  "species": ["Er", "Y", "Th", "Er", "Th", "Y", "Y"],
  "fractional_positions": [[0.563, 0.907, 0.126], [0.784, 0.201, 0.569], [0.850, 0.659, 0.700], [0.437, 0.093, 0.874], [0.150, 0.341, 0.300], [0.216, 0.799, 0.431], [0.000, 0.500, 0.000]]
}

=====

Which of them is most stable? Easy: #w.

=====

#w
{
  "formula": "Y7Er12Th",
  "functional": "PBE-GGA",
  "state": "optimized geometry",
  "magnetic_moment_mub_per_atom": 0.000,
  "n_ef_per_ev_cell": 42.5,
  "sg": "R-3, No. 148",
  "cell": [[8.431, 1.095, 1.644], [-1.292, 8.403, 1.644], [-1.292, -1.719, 8.388]],
  "species": ["Er", "Y", "Er", "Er", "Er", "Y", "Er", "Er", "Er", "Y", "Er", "Er", "Y", "Er", "Er", "Y", "Th", "Y", "Y", "Er"],
  "fractional_positions": [[0.499, 0.382, 0.854], [0.382, 0.050, 0.156], [0.618, 0.146, 0.501], [0.259, 0.135, 0.719], [0.741, 0.865, 0.281], [0.618, 0.950, 0.844], [0.501, 0.618, 0.146], [0.382, 0.854, 0.499], [0.865, 0.281, 0.741], [0.500, 0.500, 0.500], [0.854, 0.499, 0.382], [0.146, 0.501, 0.618], [0.050, 0.156, 0.382], [0.719, 0.259, 0.135], [0.135, 0.719, 0.259], [0.844, 0.618, 0.950], [0.000, 0.000, 0.000], [0.156, 0.382, 0.050], [0.950, 0.844, 0.618], [0.281, 0.741, 0.865]]
}

=====

#x
{
  "formula": "Y7Er12Th",
  "functional": "PBE-GGA",
  "state": "optimized geometry",
  "magnetic_moment_mub_per_atom": 0.000,
  "n_ef_per_ev_cell": 26.1,
  "sg": "Im-3m, No. 229",
  "cell": [[-0.180, 9.708, -0.916], [-6.776, -3.939, -5.804], [-1.845, -2.426, 9.264]],
  "species": ["Y", "Er", "Th", "Y", "Er", "Er", "Y", "Er", "Er", "Y", "Er", "Er", "Y", "Y", "Y", "Er", "Er", "Er", "Er", "Er"],
  "fractional_positions": [[0.000, 0.500, 0.500], [0.000, 0.224, 0.776], [0.000, 0.000, 0.000], [0.500, 0.500, 0.500], [0.224, 0.448, 0.224], [0.776, 0.000, 0.224], [0.500, 0.500, 0.000], [0.776, 0.224, 0.000], [0.224, 0.000, 0.776], [0.500, 0.000, 0.500], [0.224, 0.776, 0.000], [0.552, 0.776, 0.776], [0.000, 0.000, 0.500], [0.000, 0.500, 0.000], [0.500, 0.000, 0.000], [0.776, 0.776, 0.552], [0.776, 0.552, 0.776], [0.224, 0.224, 0.448], [0.448, 0.224, 0.224], [0.000, 0.776, 0.224]]
}

=====

Which of them is most stable? Easy: #w.